Entry 1:
Computed, not measured: an optimized crystal structure of Fe2HIrW at the PBE level of DFT.

Lattice parameters (Å, degrees): 3.7331 3.7331 3.8277 90.00 90.00 90.00
Element x y z (fractional)
Fe1 0.0000 0.5000 0.0000
Fe2 0.5000 0.0000 0.0000
H1 0.0000 0.0000 0.0000
Ir1 0.5000 0.5000 0.5000
W1 0.0000 0.0000 0.5000



Entry 2:
Computed, not measured: an optimized crystal structure of ZnFe2HIr at the PBE level of DFT.

Lattice parameters (Å, degrees): 3.7762 3.7762 3.8526 90.00 90.00 90.00
Element x y z (fractional)
Zn1 0.0000 0.0000 0.0000
Fe1 0.0000 0.5000 0.5000
Fe2 0.5000 0.0000 0.5000
H1 0.5000 0.5000 0.5000
Ir1 0.5000 0.5000 0.0000



Number 1: polymorph energy (0 for the lowest one) 1.9 kJ per mole of atoms. Number 2: polymorph energy (0 for the lowest one) 0.0 kJ per mole of atoms.